5
Lattice="4.7370 0.0000 0.0000 0.0000 4.7370 0.0000 0.0000 0.0000 2.5619" Properties=species:S:1:pos:R:3 comment="WCNF2 PBE+U optimized geometry" polymorph_energy_mev_per_atom=0 space_group="P4/mmm (123)" m_tot_mub_per_fu=3.17 rho_g_cm3=7.2 crystal_system=tetragonal pbc="T T T"
W 0.0000 0.0000 0.0000
C 2.3685 2.3685 1.2809
N 2.3685 2.3685 0.0000
F 0.0000 2.3685 1.2809
F 2.3685 0.0000 1.2809